Li3Ag2Bi4Pd2 | PBE | optimized geometry

Lattice parameters (Å, degrees): 4.784 4.784 12.623 90.00 90.00 120.00
Fractional coordinates of all 11 atoms:
Li: 0.000 0.000 0.000
Li: 0.000 0.000 0.756
Bi: 0.667 0.333 0.106
Bi: 0.333 0.667 0.348
Ag: 0.333 0.667 0.580
Li: 0.000 0.000 0.244
Ag: 0.667 0.333 0.420
Bi: 0.333 0.667 0.894
Bi: 0.667 0.333 0.652
Pd: 0.667 0.333 0.875
Pd: 0.333 0.667 0.125

Properties
**Volume**: 250 Å³/cell
**DOS at the Fermi energy**: 0.43 states/eV/atom
**E_form**: -0.257 eV/atom
**Magnetic moment**: 0.00 μB/cell

PmIn2Pd3 | PBE | optimized geometry

Lattice parameters (Å, degrees): 4.657 4.657 12.931 90.00 90.00 120.00
Fractional coordinates of all 12 atoms:
Pm: 0.000 0.000 0.250
In: 0.333 0.667 0.582
Pd: 0.000 0.000 0.000
Pd: 0.000 0.000 0.500
In: 0.333 0.667 0.918
Pd: 0.333 0.667 0.365
In: 0.667 0.333 0.082
Pd: 0.667 0.333 0.635
Pd: 0.667 0.333 0.865
Pd: 0.333 0.667 0.135
In: 0.667 0.333 0.418
Pm: 0.000 0.000 0.750

Properties
**Volume**: 243 Å³/cell
**DOS at the Fermi energy**: 0.53 states/eV/atom
**E_form**: -0.701 eV/atom
**ΔE to the lowest computed polymorph**: 0.000 eV per atom
**Magnetic moment**: 0.00 μB/cell